Computed, not measured: crystalline NaV4O10 at its relaxed geometry at the PBE with a Hubbard U level of DFT.

Lattice parameters (Å, degrees): 6.140 6.140 18.717 90.00 90.00 145.18
Fractional coordinates of all 30 atoms:
Na1 0.097 0.903 0.750
Na2 0.903 0.097 0.250
V1 0.270 0.730 0.087
V2 0.270 0.730 0.413
V3 0.438 0.562 0.584
V4 0.438 0.562 0.916
V5 0.562 0.438 0.084
V6 0.562 0.438 0.416
V7 0.730 0.270 0.587
V8 0.730 0.270 0.913
O1 0.101 0.899 0.071
O2 0.101 0.899 0.429
O3 0.260 0.740 0.565
O4 0.260 0.740 0.935
O5 0.297 0.703 0.173
O6 0.297 0.703 0.327
O7 0.419 0.581 0.050
O8 0.419 0.581 0.450
O9 0.461 0.539 0.670
O10 0.461 0.539 0.830
O11 0.539 0.461 0.170
O12 0.539 0.461 0.330
O13 0.581 0.419 0.550
O14 0.581 0.419 0.950
O15 0.703 0.297 0.673
O16 0.703 0.297 0.827
O17 0.740 0.260 0.065
O18 0.740 0.260 0.435
O19 0.899 0.101 0.571
O20 0.899 0.101 0.929

Output
Its uncorrected energy is -7.24 eV per atom. The space-group type is Cmcm, No. 63. As for the excess energy over the best structure of this formula in the dataset: 2.8 meV/atom. For the volume, the calculation gives 403 Å³ per cell.